Here is NdEuMgPb after structural relaxation from Alexandria via LeMat-Bulk. Energies are from PBE.

The value obtained for the theoretical density is 7.20 g/cm³. The value obtained for the density of states at the Fermi level is 2.804 states/eV/f.u. The calculation puts the size of the total moment at 7.66 μB per formula unit. The calculation puts the energy at -21.7 eV per formula unit. Its formation energy is -0.3347 eV/atom.

abc: 5.5630 5.5630 5.5630
angles: 60.00 60.00 60.00
Each line ends with the local moment (μB).
Positions (direct):
Pb 0.5000 0.5000 0.5000  -0.03
Eu 0.2500 0.2500 0.2500  6.90
Mg 0.0000 0.0000 0.0000  0.01
Nd 0.7500 0.7500 0.7500  0.16